# TcOs2Se PBE-GGA relaxed
data_TcOs2Se
_chemical_formula_sum 'Tc3 Os6 Se3'
_cell_length_a 2.8413
_cell_length_b 2.8413
_cell_length_c 25.6289
_cell_angle_alpha 90.00
_cell_angle_beta 90.00
_cell_angle_gamma 120.00
_symmetry_space_group_name_H-M 'R -3 m'
_symmetry_Int_Tables_number 166
_symmetry_space_group_name_Hall '-R 3 2"'
loop_
_atom_site_label
_atom_site_type_symbol
_atom_site_fract_x
_atom_site_fract_y
_atom_site_fract_z
Tc1 Tc 0.0000 0.0000 0.0000
Os1 Os 0.0000 0.0000 0.2497
Se1 Se 0.0000 0.0000 0.5000
# total magnetization = 0.00 Bohr magnetons per cell

=====

# TcOsSe PBE-GGA relaxed
data_TcOsSe
_chemical_formula_sum 'Tc1 Os1 Se1'
_cell_length_a 2.8968
_cell_length_b 2.8968
_cell_length_c 6.2594
_cell_angle_alpha 90.00
_cell_angle_beta 90.00
_cell_angle_gamma 120.00
_symmetry_space_group_name_H-M 'P 3 m 1'
_symmetry_Int_Tables_number 156
_symmetry_space_group_name_Hall 'P 3 -2"'
loop_
_atom_site_label
_atom_site_type_symbol
_atom_site_fract_x
_atom_site_fract_y
_atom_site_fract_z
Tc1 Tc 0.0000 0.0000 0.0000
Os1 Os 0.6667 0.3333 0.3263
Se1 Se 0.3333 0.6667 0.6743
# energy relative to the lowest polymorph listed for this composition = 0.0434 eV per atom
# total magnetization = 0.00 Bohr magnetons per cell

=====

# TcOsSe2 PBE-GGA relaxed
data_TcOsSe2
_chemical_formula_sum 'Tc4 Os4 Se8'
_cell_length_a 5.517
_cell_length_b 5.517
_cell_length_c 11.058
_cell_angle_alpha 90.00
_cell_angle_beta 90.00
_cell_angle_gamma 90.00
_symmetry_space_group_name_H-M 'I -4 2 d'
_symmetry_Int_Tables_number 122
_symmetry_space_group_name_Hall 'I -4 2bw'
loop_
_atom_site_label
_atom_site_type_symbol
_atom_site_fract_x
_atom_site_fract_y
_atom_site_fract_z
Tc1 Tc 0.000 0.000 0.000
Os1 Os 0.000 0.000 0.500
Se1 Se 0.248 0.250 0.625
# energy relative to the lowest polymorph listed for this composition = 0.3788 eV per atom
# total magnetization = 0.00 Bohr magnetons per cell

=====

# TcOs3Se PBE-GGA relaxed
data_TcOs3Se
_chemical_formula_sum 'Tc1 Os3 Se1'
_cell_length_a 4.495
_cell_length_b 4.495
_cell_length_c 4.495
_cell_angle_alpha 90.00
_cell_angle_beta 90.00
_cell_angle_gamma 90.00
_symmetry_space_group_name_H-M 'P m -3 m'
_symmetry_Int_Tables_number 221
_symmetry_space_group_name_Hall '-P 4 2 3'
loop_
_atom_site_label
_atom_site_type_symbol
_atom_site_fract_x
_atom_site_fract_y
_atom_site_fract_z
Tc1 Tc 0.000 0.000 0.000
Os1 Os 0.000 0.500 0.500
Se1 Se 0.500 0.500 0.500
# energy relative to the lowest polymorph listed for this composition = 0.0000 eV per atom
# total magnetization = 2.37 Bohr magnetons per cell

=====

# TcOsSe2 PBE-GGA relaxed
data_TcOsSe2
_chemical_formula_sum 'Tc3 Os3 Se6'
_cell_length_a 3.0595
_cell_length_b 3.0595
_cell_length_c 24.9831
_cell_angle_alpha 90.00
_cell_angle_beta 90.00
_cell_angle_gamma 120.00
_symmetry_space_group_name_H-M 'R -3 m'
_symmetry_Int_Tables_number 166
_symmetry_space_group_name_Hall '-R 3 2"'
loop_
_atom_site_label
_atom_site_type_symbol
_atom_site_fract_x
_atom_site_fract_y
_atom_site_fract_z
Tc1 Tc 0.0000 0.0000 0.0000
Os1 Os 0.0000 0.0000 0.5000
Se1 Se 0.0000 0.0000 0.4057
# energy relative to the lowest polymorph listed for this composition = 0.2917 eV per atom
# total magnetization = 0.00 Bohr magnetons per cell

=====

# TcOsSe2 PBE-GGA relaxed
data_TcOsSe2
_chemical_formula_sum 'Tc2 Os2 Se4'
_cell_length_a 7.999
_cell_length_b 3.030
_cell_length_c 5.257
_cell_angle_alpha 90.00
_cell_angle_beta 102.18
_cell_angle_gamma 90.00
_symmetry_space_group_name_H-M 'C 1 2/m 1'
_symmetry_Int_Tables_number 12
_symmetry_space_group_name_Hall '-C 2y'
loop_
_atom_site_label
_atom_site_type_symbol
_atom_site_fract_x
_atom_site_fract_y
_atom_site_fract_z
Tc1 Tc 0.000 0.000 0.000
Os1 Os 0.000 0.500 0.500
Se1 Se 0.245 0.500 0.246
# energy relative to the lowest polymorph listed for this composition = 0.3367 eV per atom
# total magnetization = 0.00 Bohr magnetons per cell

=====

# TcOs2Se PBE-GGA relaxed
data_TcOs2Se
_chemical_formula_sum 'Tc2 Os4 Se2'
_cell_length_a 5.806
_cell_length_b 7.251
_cell_length_c 2.859
_cell_angle_alpha 90.00
_cell_angle_beta 90.00
_cell_angle_gamma 90.00
_symmetry_space_group_name_H-M 'C m m m'
_symmetry_Int_Tables_number 65
_symmetry_space_group_name_Hall '-C 2 2'
loop_
_atom_site_label
_atom_site_type_symbol
_atom_site_fract_x
_atom_site_fract_y
_atom_site_fract_z
Tc1 Tc 0.000 0.000 0.000
Os1 Os 0.250 0.250 0.500
Se1 Se 0.000 0.500 0.000
# total magnetization = 0.00 Bohr magnetons per cell

=====

# TcOs2Se PBE-GGA relaxed
data_TcOs2Se
_chemical_formula_sum 'Tc2 Os4 Se2'
_cell_length_a 9.516
_cell_length_b 2.887
_cell_length_c 4.462
_cell_angle_alpha 90.00
_cell_angle_beta 92.35
_cell_angle_gamma 90.00
_symmetry_space_group_name_H-M 'C 1 m 1'
_symmetry_Int_Tables_number 8
_symmetry_space_group_name_Hall 'C -2y'
loop_
_atom_site_label
_atom_site_type_symbol
_atom_site_fract_x
_atom_site_fract_y
_atom_site_fract_z
Tc1 Tc 0.000 0.000 0.000
Os1 Os 0.058 0.500 0.537
Os2 Os 0.287 0.000 0.737
Se1 Se 0.276 0.500 0.257
# total magnetization = 0.00 Bohr magnetons per cell

=====

# TcOsSe2 PBE-GGA relaxed
data_TcOsSe2
_chemical_formula_sum 'Tc2 Os2 Se4'
_cell_length_a 3.033
_cell_length_b 4.417
_cell_length_c 9.568
_cell_angle_alpha 90.00
_cell_angle_beta 90.00
_cell_angle_gamma 90.00
_symmetry_space_group_name_H-M 'I m m 2'
_symmetry_Int_Tables_number 44
_symmetry_space_group_name_Hall 'I 2 -2'
loop_
_atom_site_label
_atom_site_type_symbol
_atom_site_fract_x
_atom_site_fract_y
_atom_site_fract_z
Tc1 Tc 0.000 0.000 0.000
Os1 Os 0.000 0.500 0.782
Se1 Se 0.000 0.000 0.501
Se2 Se 0.000 0.500 0.279
# energy relative to the lowest polymorph listed for this composition = 0.4841 eV per atom
# total magnetization = 0.00 Bohr magnetons per cell

=====

# TcOsSe4 PBE-GGA relaxed
data_TcOsSe4
_chemical_formula_sum 'Tc2 Os2 Se8'
_cell_length_a 13.593
_cell_length_b 3.573
_cell_length_c 5.802
_cell_angle_alpha 90.00
_cell_angle_beta 102.02
_cell_angle_gamma 90.00
_symmetry_space_group_name_H-M 'C 1 m 1'
_symmetry_Int_Tables_number 8
_symmetry_space_group_name_Hall 'C -2y'
loop_
_atom_site_label
_atom_site_type_symbol
_atom_site_fract_x
_atom_site_fract_y
_atom_site_fract_z
Tc1 Tc 0.000 0.000 0.000
Os1 Os 0.008 0.500 0.390
Se1 Se 0.102 0.500 0.827
Se2 Se 0.132 0.000 0.351
Se3 Se 0.373 0.000 0.043
Se4 Se 0.410 0.500 0.556
# energy relative to the lowest polymorph listed for this composition = 0.0000 eV per atom
# total magnetization = 1.51 Bohr magnetons per cell

=====

# TcOs2Se PBE-GGA relaxed
data_TcOs2Se
_chemical_formula_sum 'Tc2 Os4 Se2'
_cell_length_a 3.948
_cell_length_b 3.948
_cell_length_c 7.690
_cell_angle_alpha 90.00
_cell_angle_beta 90.00
_cell_angle_gamma 90.00
_symmetry_space_group_name_H-M 'I 4/m m m'
_symmetry_Int_Tables_number 139
_symmetry_space_group_name_Hall '-I 4 2'
loop_
_atom_site_label
_atom_site_type_symbol
_atom_site_fract_x
_atom_site_fract_y
_atom_site_fract_z
Tc1 Tc 0.000 0.000 0.000
Os1 Os 0.000 0.500 0.250
Se1 Se 0.000 0.000 0.500
# total magnetization = 0.00 Bohr magnetons per cell

=====

# TcOs2Se PBE-GGA relaxed
data_TcOs2Se
_chemical_formula_sum 'Tc1 Os2 Se1'
_cell_length_a 2.882
_cell_length_b 4.075
_cell_length_c 5.266
_cell_angle_alpha 90.00
_cell_angle_beta 105.05
_cell_angle_gamma 90.00
_symmetry_space_group_name_H-M 'P 1 2/m 1'
_symmetry_Int_Tables_number 10
_symmetry_space_group_name_Hall '-P 2y'
loop_
_atom_site_label
_atom_site_type_symbol
_atom_site_fract_x
_atom_site_fract_y
_atom_site_fract_z
Tc1 Tc 0.000 0.000 0.000
Os1 Os 0.371 0.500 0.745
Se1 Se 0.000 0.000 0.500
# total magnetization = 0.00 Bohr magnetons per cell

=====

# TcOsSe2 PBE-GGA relaxed
data_TcOsSe2
_chemical_formula_sum 'Tc3 Os3 Se6'
_cell_length_a 3.0379
_cell_length_b 3.0379
_cell_length_c 23.3928
_cell_angle_alpha 90.00
_cell_angle_beta 90.00
_cell_angle_gamma 120.00
_symmetry_space_group_name_H-M 'R -3 m'
_symmetry_Int_Tables_number 166
_symmetry_space_group_name_Hall '-R 3 2"'
loop_
_atom_site_label
_atom_site_type_symbol
_atom_site_fract_x
_atom_site_fract_y
_atom_site_fract_z
Tc1 Tc 0.0000 0.0000 0.0000
Os1 Os 0.0000 0.0000 0.5000
Se1 Se 0.0000 0.0000 0.2513
# energy relative to the lowest polymorph listed for this composition = 0.3449 eV per atom
# total magnetization = 0.00 Bohr magnetons per cell

=====

# TcOsSe2 PBE-GGA relaxed
data_TcOsSe2
_chemical_formula_sum 'Tc2 Os2 Se4'
_cell_length_a 2.912
_cell_length_b 4.938
_cell_length_c 10.123
_cell_angle_alpha 90.00
_cell_angle_beta 90.00
_cell_angle_gamma 90.00
_symmetry_space_group_name_H-M 'C m m 2'
_symmetry_Int_Tables_number 35
_symmetry_space_group_name_Hall 'C 2 -2'
loop_
_atom_site_label
_atom_site_type_symbol
_atom_site_fract_x
_atom_site_fract_y
_atom_site_fract_z
Tc1 Tc 0.000 0.000 0.000
Os1 Os 0.000 0.500 0.212
Se1 Se 0.000 0.000 0.429
Se2 Se 0.000 0.500 0.787
# energy relative to the lowest polymorph listed for this composition = 0.4842 eV per atom
# total magnetization = 0.00 Bohr magnetons per cell

=====

# TcOs2Se PBE-GGA relaxed
data_TcOs2Se
_chemical_formula_sum 'Tc2 Os4 Se2'
_cell_length_a 5.282
_cell_length_b 9.179
_cell_length_c 2.878
_cell_angle_alpha 90.00
_cell_angle_beta 118.89
_cell_angle_gamma 90.00
_symmetry_space_group_name_H-M 'C 1 2/m 1'
_symmetry_Int_Tables_number 12
_symmetry_space_group_name_Hall '-C 2y'
loop_
_atom_site_label
_atom_site_type_symbol
_atom_site_fract_x
_atom_site_fract_y
_atom_site_fract_z
Tc1 Tc 0.000 0.000 0.000
Os1 Os 0.250 0.250 0.500
Se1 Se 0.000 0.500 0.000
# total magnetization = 0.83 Bohr magnetons per cell

=====

# TcOsSe3 PBE-GGA relaxed
data_TcOsSe3
_chemical_formula_sum 'Tc1 Os1 Se3'
_cell_length_a 4.892
_cell_length_b 4.892
_cell_length_c 4.892
_cell_angle_alpha 90.00
_cell_angle_beta 90.00
_cell_angle_gamma 90.00
_symmetry_space_group_name_H-M 'P m -3 m'
_symmetry_Int_Tables_number 221
_symmetry_space_group_name_Hall '-P 4 2 3'
loop_
_atom_site_label
_atom_site_type_symbol
_atom_site_fract_x
_atom_site_fract_y
_atom_site_fract_z
Tc1 Tc 0.000 0.000 0.000
Os1 Os 0.500 0.500 0.500
Se1 Se 0.000 0.500 0.500
# energy relative to the lowest polymorph listed for this composition = 0.0000 eV per atom
# total magnetization = 2.49 Bohr magnetons per cell

=====

# TcOsSe PBE-GGA relaxed
data_TcOsSe
_chemical_formula_sum 'Tc2 Os2 Se2'
_cell_length_a 2.8999
_cell_length_b 2.8999
_cell_length_c 12.5752
_cell_angle_alpha 90.00
_cell_angle_beta 90.00
_cell_angle_gamma 120.00
_symmetry_space_group_name_H-M 'P -6 m 2'
_symmetry_Int_Tables_number 187
_symmetry_space_group_name_Hall 'P -6 2'
loop_
_atom_site_label
_atom_site_type_symbol
_atom_site_fract_x
_atom_site_fract_y
_atom_site_fract_z
Tc1 Tc 0.0000 0.0000 0.0000
Tc2 Tc 0.0000 0.0000 0.5000
Os1 Os 0.6667 0.3333 0.1633
Se1 Se 0.3333 0.6667 0.3465
# energy relative to the lowest polymorph listed for this composition = 0.0000 eV per atom
# total magnetization = 0.00 Bohr magnetons per cell

=====

# Th6Tc2OsSe3 PBE-GGA relaxed
data_Th6Tc2OsSe3
_chemical_formula_sum 'Th12 Tc4 Os2 Se6'
_cell_length_a 18.843
_cell_length_b 4.123
_cell_length_c 8.737
_cell_angle_alpha 90.00
_cell_angle_beta 107.73
_cell_angle_gamma 90.00
_symmetry_space_group_name_H-M 'C 1 2/m 1'
_symmetry_Int_Tables_number 12
_symmetry_space_group_name_Hall '-C 2y'
loop_
_atom_site_label
_atom_site_type_symbol
_atom_site_fract_x
_atom_site_fract_y
_atom_site_fract_z
Th1 Th 0.009 0.000 0.232
Th2 Th 0.159 0.500 0.104
Th3 Th 0.174 0.500 0.564
Tc1 Tc 0.165 0.000 0.333
Os1 Os 0.000 0.500 0.000
Se1 Se 0.000 0.500 0.500
Se2 Se 0.167 0.000 0.833
# total magnetization = 0.00 Bohr magnetons per cell

=====

# Th4TcOsSe2 PBE-GGA relaxed
data_Th4TcOsSe2
_chemical_formula_sum 'Th4 Tc1 Os1 Se2'
_cell_length_a 7.143
_cell_length_b 4.123
_cell_length_c 7.703
_cell_angle_alpha 90.00
_cell_angle_beta 107.93
_cell_angle_gamma 90.00
_symmetry_space_group_name_H-M 'P 1 2/m 1'
_symmetry_Int_Tables_number 10
_symmetry_space_group_name_Hall '-P 2y'
loop_
_atom_site_label
_atom_site_type_symbol
_atom_site_fract_x
_atom_site_fract_y
_atom_site_fract_z
Th1 Th 0.237 0.000 0.215
Th2 Th 0.261 0.500 0.787
Tc1 Tc 0.000 0.500 0.000
Os1 Os 0.500 0.000 0.000
Se1 Se 0.000 0.000 0.500
Se2 Se 0.500 0.500 0.500
# total magnetization = 0.00 Bohr magnetons per cell

=====

# Th6TcOs2Se3 PBE-GGA relaxed
data_Th6TcOs2Se3
_chemical_formula_sum 'Th12 Tc2 Os4 Se6'
_cell_length_a 18.892
_cell_length_b 4.120
_cell_length_c 8.759
_cell_angle_alpha 90.00
_cell_angle_beta 108.02
_cell_angle_gamma 90.00
_symmetry_space_group_name_H-M 'C 1 2/m 1'
_symmetry_Int_Tables_number 12
_symmetry_space_group_name_Hall '-C 2y'
loop_
_atom_site_label
_atom_site_type_symbol
_atom_site_fract_x
_atom_site_fract_y
_atom_site_fract_z
Th1 Th 0.007 0.000 0.229
Th2 Th 0.158 0.500 0.101
Th3 Th 0.175 0.500 0.562
Tc1 Tc 0.000 0.500 0.000
Os1 Os 0.167 0.000 0.333
Se1 Se 0.000 0.500 0.500
Se2 Se 0.167 0.000 0.832
# total magnetization = 0.00 Bohr magnetons per cell

=====

Number 1: ΔE_f (raw) 431 meV per atom. Number 2: ΔE_f (raw) 313 meV per atom. Number 3: ΔE_f (raw) 443 meV per atom. Number 4: ΔE_f (raw) 2021 meV per atom. Number 5: ΔE_f (raw) 356 meV per atom. Number 6: ΔE_f (raw) 401 meV per atom. Number 7: ΔE_f (raw) 714 meV per atom. Number 8: ΔE_f (raw) 475 meV per atom. Number 9: ΔE_f (raw) 548 meV per atom. Number 10: ΔE_f (raw) -291 meV per atom. Number 11: ΔE_f (raw) 744 meV per atom. Number 12: ΔE_f (raw) 485 meV per atom. Number 13: ΔE_f (raw) 409 meV per atom. Number 14: ΔE_f (raw) 548 meV per atom. Number 15: ΔE_f (raw) 803 meV per atom. Number 16: ΔE_f (raw) 1183 meV per atom. Number 17: ΔE_f (raw) 270 meV per atom. Number 18: ΔE_f (raw) -848 meV per atom. Number 19: ΔE_f (raw) -889 meV per atom. Number 20: ΔE_f (raw) -933 meV per atom.